# PBE SiMo2Br, relaxed
data_SiMo2Br
_chemical_formula_sum 'Si4 Mo8 Br4'
_cell_length_a 5.8171
_cell_length_b 5.8171
_cell_length_c 10.6225
_cell_angle_alpha 90.00
_cell_angle_beta 90.00
_cell_angle_gamma 90.00
_space_group_name_H-M_alt 'I -4 2 d'
_space_group_IT_number 122
_space_group_name_Hall 'I -4 2bw'
loop_
_atom_site_label
_atom_site_type_symbol
_atom_site_fract_x
_atom_site_fract_y
_atom_site_fract_z
Si1 Si 0.0000 0.0000 0.0000
Mo1 Mo 0.2330 0.2500 0.1250
Br1 Br 0.0000 0.0000 0.5000
# * raw formation energy: 1.11 eV per atom
# * spin magnetization: 2.56 μB per formula unit
# * electronic total energy: -97.267 eV for the cell shown



# PBE BePb, relaxed
data_BePb
_chemical_formula_sum 'Be4 Pb4'
_cell_length_a 3.8850
_cell_length_b 3.8850
_cell_length_c 11.0250
_cell_angle_alpha 90.00
_cell_angle_beta 90.00
_cell_angle_gamma 90.00
_space_group_name_H-M_alt 'I 41/a m d'
_space_group_IT_number 141
loop_
_space_group_symop_operation_xyz
'x,y,z'
'-x,-y,-z'
'-y+1/4,x+3/4,z+1/4'
'y+1/4,-x+3/4,-z+1/4'
'-x+1/2,-y,z+1/2'
'x+1/2,y,-z+1/2'
'y+1/4,-x+1/4,z+3/4'
'-y+1/4,x+1/4,-z+3/4'
'x,-y,-z'
'-x,y,z'
'-y+1/4,-x+1/4,-z+3/4'
'y+1/4,x+1/4,z+3/4'
'-x+1/2,y,-z+1/2'
'x+1/2,-y,z+1/2'
'y+1/4,x+3/4,-z+1/4'
'-y+1/4,-x+3/4,z+1/4'
'x+1/2,y+1/2,z+1/2'
'-x+1/2,-y+1/2,-z+1/2'
'-y+3/4,x+1/4,z+3/4'
'y+3/4,-x+1/4,-z+3/4'
'-x,-y+1/2,z'
'x,y+1/2,-z'
'y+3/4,-x+3/4,z+1/4'
'-y+3/4,x+3/4,-z+1/4'
'x+1/2,-y+1/2,-z+1/2'
'-x+1/2,y+1/2,z+1/2'
'-y+3/4,-x+3/4,-z+1/4'
'y+3/4,x+3/4,z+1/4'
'-x,y+1/2,-z'
'x,-y+1/2,z'
'y+3/4,x+1/4,-z+3/4'
'-y+3/4,-x+1/4,z+3/4'
loop_
_atom_site_label
_atom_site_type_symbol
_atom_site_fract_x
_atom_site_fract_y
_atom_site_fract_z
Be1 Be 0.0000 0.2500 0.3750
Pb1 Pb 0.0000 0.2500 0.8750
# * spin magnetization: 0.00 μB per formula unit
# * electronic total energy: -23.349 eV for the cell shown
# * ΔE_f: 0.7987 eV/atom



# PBE PmTmZnAg, relaxed
data_PmTmZnAg
_chemical_formula_sum 'Pm4 Tm4 Zn4 Ag4'
_cell_length_a 7.2608
_cell_length_b 7.2608
_cell_length_c 7.2608
_cell_angle_alpha 90.00
_cell_angle_beta 90.00
_cell_angle_gamma 90.00
_space_group_name_H-M_alt 'F -4 3 m'
_space_group_IT_number 216
_space_group_name_Hall 'F -4 2 3'
loop_
_atom_site_label
_atom_site_type_symbol
_atom_site_fract_x
_atom_site_fract_y
_atom_site_fract_z
Pm1 Pm 0.0000 0.0000 0.0000
Tm1 Tm 0.0000 0.0000 0.5000
Zn1 Zn 0.2500 0.2500 0.2500
Ag1 Ag 0.2500 0.2500 0.7500
# * spin magnetization: 0.00 μB per formula unit
# * electronic total energy: -58.269 eV for the cell shown
# * ΔE_f: -0.3050 eV/atom



# PBE KSmMgI6, relaxed
data_KSmMgI6
_chemical_formula_sum 'K2 Sm2 Mg2 I12'
_cell_length_a 7.8145
_cell_length_b 7.8145
_cell_length_c 15.6688
_cell_angle_alpha 90.00
_cell_angle_beta 90.00
_cell_angle_gamma 120.00
_space_group_name_H-M_alt 'P -3 1 c'
_space_group_IT_number 163
_space_group_name_Hall '-P 3 2c'
loop_
_atom_site_label
_atom_site_type_symbol
_atom_site_fract_x
_atom_site_fract_y
_atom_site_fract_z
K1 K 0.0000 0.0000 0.0000
Sm1 Sm 0.3333 0.6667 0.2500
Mg1 Mg 0.3333 0.6667 0.7500
I1 I 0.0137 0.3750 0.6387
# * raw formation energy: -1.29 eV per atom
# * spin magnetization: 0.00 μB per formula unit
# * electronic total energy: -56.709 eV for the cell shown



# PBE K3Ag5Cl12, relaxed
data_K3Ag5Cl12
_chemical_formula_sum 'K24 Ag40 Cl96'
_cell_length_a 16.6560
_cell_length_b 16.6560
_cell_length_c 16.6560
_cell_angle_alpha 90.00
_cell_angle_beta 90.00
_cell_angle_gamma 90.00
_space_group_name_H-M_alt 'I a -3 d'
_space_group_IT_number 230
_space_group_name_Hall '-I 4bd 2c 3'
loop_
_atom_site_label
_atom_site_type_symbol
_atom_site_fract_x
_atom_site_fract_y
_atom_site_fract_z
K1 K 0.0000 0.2500 0.1250
Ag1 Ag 0.0000 0.0000 0.0000
Ag2 Ag 0.0000 0.2500 0.3750
Cl1 Cl 0.0278 0.0477 0.6454
# * raw formation energy: -0.83 eV per atom
# * spin magnetization: 0.00 μB per formula unit
# * electronic total energy: -450.216 eV for the cell shown



# PBE Sr2LaSc, relaxed
data_Sr2LaSc
_chemical_formula_sum 'Sr4 La2 Sc2'
_cell_length_a 4.2022
_cell_length_b 6.0670
_cell_length_c 12.4191
_cell_angle_alpha 90.00
_cell_angle_beta 90.00
_cell_angle_gamma 90.00
_space_group_name_H-M_alt 'C m m m'
_space_group_IT_number 65
_space_group_name_Hall '-C 2 2'
loop_
_atom_site_label
_atom_site_type_symbol
_atom_site_fract_x
_atom_site_fract_y
_atom_site_fract_z
Sr1 Sr 0.0000 0.0000 0.2326
La1 La 0.0000 0.5000 0.5000
Sc1 Sc 0.0000 0.5000 0.0000
# * spin magnetization: 0.04 μB per formula unit
# * electronic total energy: -26.826 eV for the cell shown
# * ΔE_f: 0.3025 eV/atom



Look up the electronic total energy of the first one.
-97.267 eV for the cell shown